[1]
Density functional theory data (PBE+U) for an optimized crystal structure of LiNiF4.

The space group is I4_1md (No. 109) and the conventional cell measures 6.477, 6.477 and 6.087 Å, with angles of 90.00, 90.00 and 90.00 degrees. Symmetry generates all atoms from Li at (0.000, 0.000, 0.000), Ni at (0.000, 0.000, 0.476), F at (0.000, 0.197, 0.254) and F at (0.000, 0.199, 0.727).

The value obtained for the uncorrected energy is -4.10 eV/atom.



[2]
Density functional theory data (PBE+U) for an optimized crystal structure of LiNi3F.

The space group is Pm-3m (No. 221) and the conventional cell measures 4.218, 4.218 and 4.218 Å, with angles of 90.00, 90.00 and 90.00 degrees. Symmetry generates all atoms from Li at (0.000, 0.000, 0.000), Ni at (0.000, 0.000, 0.500) and F at (0.500, 0.500, 0.500).

The energy above the most stable polymorph in this dataset is 0.6147 eV/atom. Its density of states at the Fermi level is 1.59 states/eV/f.u. The value obtained for the uncorrected energy is -1.48 eV/atom.



[3]
Density functional theory data (PBE+U) for an optimized crystal structure of LiNiF4.

The space group is I-4 (No. 82) and the conventional cell measures 5.746, 5.746 and 5.110 Å, with angles of 90.00, 90.00 and 90.00 degrees. Symmetry generates all atoms from Li at (0.000, 0.000, 0.000), Ni at (0.000, 0.500, 0.250) and F at (0.128, 0.780, 0.240).

Its density of states at the Fermi level is 0.00 states/eV/f.u. The value obtained for the uncorrected energy is -3.87 eV/atom.



[4]
Density functional theory data (PBE+U) for an optimized crystal structure of Li3NiF6.

The space group is Pna2_1 (No. 33) and the conventional cell measures 9.663, 8.478 and 5.030 Å, with angles of 90.00, 90.00 and 90.00 degrees. Symmetry generates all atoms from Li at (0.104, 0.053, 0.000), Li at (0.123, 0.637, 0.488), Li at (0.149, 0.448, 0.991), Ni at (0.130, 0.260, 0.493), F at (0.013, 0.417, 0.669), F at (0.025, 0.095, 0.646), F at (0.025, 0.255, 0.170), F at (0.228, 0.438, 0.348), F at (0.241, 0.266, 0.807) and F at (0.248, 0.112, 0.312).

The energy above the most stable polymorph in this dataset is 0.0000 eV/atom. Its density of states at the Fermi level is 0.00 states/eV/f.u. The value obtained for the uncorrected energy is -4.43 eV/atom.